Entry from Alexandria via LeMat-Bulk: crystalline TiSn2Br8 at its relaxed geometry (PBE-GGA).

a = 7.848 Å, b = 7.848 Å, c = 8.953 Å
α = 100.60°, β = 100.60°, γ = 54.29°
Element x y z (fractional)
1 Ti 0.000 0.000 0.000
2 Sn 0.139 0.139 0.401
3 Sn 0.861 0.861 0.599
4 Br 0.097 0.097 0.797
5 Br 0.133 0.640 0.851
6 Br 0.332 0.332 0.444
7 Br 0.360 0.867 0.149
8 Br 0.640 0.133 0.851
9 Br 0.668 0.668 0.556
10 Br 0.867 0.360 0.149
11 Br 0.903 0.903 0.203

Output
Space-group type: C2/m (12)
M_tot (μB per cell): 0.00
Uncorrected energy (hartree per atom): -0.1306
Volume (Å³/atom): 39.8
Mass density (g cm⁻³): 3.5